An optimized crystal structure of Cr2SiWF, computed with PBE+U.

Calculated values
Energy   -5.591 eV per atom
Total magnetic moment   5.85 μB/cell
D(E_F)   0.430 states/eV per atom

Cell lengths 4.472, 4.472, 4.340 Å; angles 90.00, 90.00, 90.00 degrees
Fractional positions:
Cr 0.000 0.500 0.000
Cr 0.500 0.000 0.000
Si 0.000 0.000 0.500
W 0.500 0.500 0.500
F 0.500 0.500 0.000